Run P
DFT (PBE) results for a relaxed LiBeFeB crystal.

Lattice parameters (Å, degrees): 5.0498 5.0498 5.0498 90.00 90.00 90.00
Space group F-43m (No. 216)
Unique sites:
Li 0.0000 0.0000 0.0000 [4 per cell]
Be 0.2500 0.2500 0.2500 [4 per cell]
Fe 0.2500 0.2500 0.7500 [4 per cell]
B 0.0000 0.0000 0.5000 [4 per cell]

Run Q
DFT (PBE) results for a relaxed LiBeFeB crystal.

Lattice parameters (Å, degrees): 5.0769 5.0769 5.0769 90.00 90.00 90.00
Space group F-43m (No. 216)
Unique sites:
Li 0.0000 0.0000 0.0000 [4 per cell]
Be 0.2500 0.2500 0.7500 [4 per cell]
Fe 0.0000 0.0000 0.5000 [4 per cell]
B 0.2500 0.2500 0.2500 [4 per cell]

Which of them is most stable, and which least? Most stable: run Q; least stable: run P.

Run P
DFT (PBE) results for a relaxed LuBeFeB crystal.

Lattice parameters (Å, degrees): 5.7593 5.7593 5.7593 90.00 90.00 90.00
Space group F-43m (No. 216)
Unique sites:
Lu 0.0000 0.0000 0.0000 [4 per cell]
Be 0.2500 0.2500 0.2500 [4 per cell]
Fe 0.2500 0.2500 0.7500 [4 per cell]
B 0.0000 0.0000 0.5000 [4 per cell]

Run Q
DFT (PBE) results for a relaxed LuBeFeB crystal.

Lattice parameters (Å, degrees): 5.7617 5.7617 5.7617 90.00 90.00 90.00
Space group F-43m (No. 216)
Unique sites:
Lu 0.0000 0.0000 0.0000 [4 per cell]
Be 0.2500 0.2500 0.7500 [4 per cell]
Fe 0.0000 0.0000 0.5000 [4 per cell]
B 0.2500 0.2500 0.2500 [4 per cell]

Which of them is most stable, and which least? Most stable: run Q; least stable: run P.